# AcTbH

AcTbH after structural relaxation (GGA-PBE, Alexandria).

Cell and atoms, written as POSCAR:
```
AcTbH
1.0
-0.2463 0.9095 3.6912
2.5650 -2.5656 -1.1626
4.0658 4.4373 -0.8221
Tb Ac H
1 1 1
direct
0.6667 0.3333 0.4398
0.0000 0.0000 0.9231
0.3333 0.6667 0.6371
```

## Properties
- Space-group type: P3m1, No. 156
- Density: 8.42 Mg/m³
- Crystal system: trigonal

***

# AcTbH

AcTbH after structural relaxation (GGA-PBE, Alexandria).

Cell and atoms, written as POSCAR:
```
AcTbH
1.0
3.6324 0.0000 0.0000
0.0000 6.3962 0.0000
0.0000 0.0000 13.3141
H Tb Ac
4 4 4
direct
0.2500 0.8837 0.8524
0.2500 0.6163 0.3524
0.7500 0.3837 0.6476
0.7500 0.1163 0.1476
0.7500 0.7027 0.9354
0.7500 0.7973 0.4354
0.2500 0.2027 0.5646
0.2500 0.2973 0.0646
0.2500 0.8104 0.1832
0.7500 0.3104 0.3168
0.2500 0.6896 0.6832
0.7500 0.1896 0.8168
```

## Properties
- Space-group type: Pnma, No. 62
- Density: 8.31 Mg/m³
- Crystal system: orthorhombic

***

# AcTbH

AcTbH after structural relaxation (GGA-PBE, Alexandria).

Cell and atoms, written as POSCAR:
```
AcTbH
1.0
-0.9771 -1.4592 3.0843
3.4111 -0.3430 0.9184
-1.3619 6.7599 0.7246
Tb Ac H
1 1 1
direct
0.7424 0.7424 0.4847
0.0325 0.0325 0.0650
0.2251 0.2251 0.4503
```

## Properties
- Space-group type: I4mm, No. 107
- Density: 7.89 Mg/m³
- Crystal system: tetragonal

***

# AcTb2H

AcTb2H after structural relaxation (GGA-PBE, Alexandria).

Cell and atoms, written as POSCAR:
```
AcTb2H
1.0
-2.7896 1.7229 -1.5495
-3.3815 -0.6206 1.1540
-1.1703 7.6732 6.3952
Ac H Tb
1 1 2
direct
0.0000 0.0000 0.0000
0.5000 0.5000 0.5000
0.8779 0.8779 0.3662
0.1221 0.1221 0.6338
```

## Properties
- Space-group type: R-3m, No. 166
- Density: 8.09 Mg/m³
- Crystal system: trigonal

***

# AcTb2H

AcTb2H after structural relaxation (GGA-PBE, Alexandria).

Cell and atoms, written as POSCAR:
```
AcTb2H
1.0
3.4769 0.0000 0.0000
0.0000 3.4769 0.0000
0.0000 0.0000 8.8801
Tb Ac H
2 1 1
direct
0.0000 0.0000 0.8182
0.0000 0.0000 0.1818
0.5000 0.5000 0.5000
0.5000 0.5000 0.0000
```

## Properties
- Space-group type: P4/mmm, No. 123
- Density: 8.44 Mg/m³
- Crystal system: tetragonal

***

# Ac3TbH

Ac3TbH after structural relaxation (GGA-PBE, Alexandria).

Cell and atoms, written as POSCAR:
```
Ac3TbH
1.0
-2.5079 -4.7279 1.2497
4.4210 -2.7923 -1.6918
2.0904 0.2332 5.0775
Ac Tb H
3 1 1
direct
0.5000 0.0000 0.0000
0.0000 0.5000 0.0000
0.0000 0.0000 0.5000
0.5000 0.5000 0.5000
0.0000 0.0000 0.0000
```

## Properties
- Space-group type: Pm-3m, No. 221
- Density: 8.41 Mg/m³
- Crystal system: cubic

***

Number 1: final energy -4.176 eV per atom. Number 2: final energy -4.153 eV per atom. Number 3: final energy -4.046 eV per atom. Number 4: final energy -4.209 eV per atom. Number 5: final energy -3.958 eV per atom. Number 6: final energy -4.173 eV per atom.